A geometry-optimized TmMgGa structure. Source: OQMD via LeMat-Bulk, functional PBE.

For the total moment, the calculation gives 0.0 μB per formula unit. The calculation puts the total energy at -3.288 eV per atom.

The structure belongs to space group Pnma (No. 62); the cell edges are 7.7283, 3.3131 and 10.6185 Å and the angles 90.00°, 90.00° and 90.00°. The distinct sites, in fractional coordinates, are Tm at (0.1599, 0.2500, 0.0913), Mg at (0.0806, 0.2500, 0.3873) and Ga at (0.1290, 0.2500, 0.7925).

=====

A geometry-optimized KBaSiAu structure. Source: OQMD via LeMat-Bulk, functional PBE.

The calculation puts the total energy at -2.973 eV per atom.

The structure belongs to space group F-43m (No. 216); the cell edges are 7.5660, 7.5660 and 7.5660 Å and the angles 90.00°, 90.00° and 90.00°. The distinct sites, in fractional coordinates, are K at (0.0000, 0.0000, 0.0000), Ba at (0.2500, 0.2500, 0.2500), Si at (0.0000, 0.0000, 0.5000) and Au at (0.2500, 0.2500, 0.7500).

=====

A geometry-optimized SrGa2Cu2 structure. Source: OQMD via LeMat-Bulk, functional PBE.

The calculation puts the total energy at -3.323 eV per atom.

The structure belongs to space group I4/mmm (No. 139); the cell edges are 4.3292, 4.3292 and 10.2164 Å and the angles 90.00°, 90.00° and 90.00°. The distinct sites, in fractional coordinates, are Sr at (0.0000, 0.0000, 0.0000), Ga at (0.0000, 0.0000, 0.3681) and Cu at (0.0000, 0.5000, 0.2500).

=====

A geometry-optimized Lu2Al2O5 structure. Source: OQMD via LeMat-Bulk, functional PBE.

For the total moment, the calculation gives 0.0 μB per formula unit. The calculation puts the total energy at -6.937 eV per atom.

The structure belongs to space group P4/mmm (No. 123); the cell edges are 3.7651, 3.7651 and 8.5017 Å and the angles 90.00°, 90.00° and 90.00°. The distinct sites, in fractional coordinates, are Lu at (0.0000, 0.0000, 0.2438), Al at (0.5000, 0.5000, 0.0000), Al at (0.5000, 0.5000, 0.5000), O at (0.0000, 0.0000, 0.5000) and O at (0.0000, 0.5000, 0.1396).